# PBE In5SnBr4Cl2, relaxed
data_In5SnBr4Cl2
_space_group_name_H-M_alt 'A m m 2'
_space_group_IT_number 38
_space_group_name_Hall 'A 2 -2'
_cell_length_a 12.009
_cell_length_b 12.318
_cell_length_c 6.226
_cell_angle_alpha 90.00
_cell_angle_beta 90.00
_cell_angle_gamma 90.00
loop_
_atom_site_label
_atom_site_type_symbol
_atom_site_fract_x
_atom_site_fract_y
_atom_site_fract_z
In1 In 0.000 0.000 0.000
In2 In 0.224 0.240 0.686
Sn1 Sn 0.500 0.000 0.868
Br1 Br 0.253 0.000 0.808
Br2 Br 0.500 0.160 0.576
Cl1 Cl 0.000 0.161 0.673
# M_tot   0.000 μB per formula unit
# Uncorrected formation energy   -57.8 kJ/mol of atoms
# ρ   3.91 g/cm³


# PBE HfTiH2, relaxed
data_HfTiH2
_space_group_name_H-M_alt 'I -4 2 d'
_space_group_IT_number 122
_space_group_name_Hall 'I -4 2bw'
_cell_length_a 4.382
_cell_length_b 4.382
_cell_length_c 9.456
_cell_angle_alpha 90.00
_cell_angle_beta 90.00
_cell_angle_gamma 90.00
loop_
_atom_site_label
_atom_site_type_symbol
_atom_site_fract_x
_atom_site_fract_y
_atom_site_fract_z
Hf1 Hf 0.000 0.000 0.000
Ti1 Ti 0.000 0.000 0.500
H1 H 0.228 0.250 0.625
# M_tot   0.000 μB per formula unit
# ΔE to the lowest computed polymorph   0.000 eV/atom
# ρ   8.35 g/cm³


# PBE CaAc7Nd12, relaxed
data_CaAc7Nd12
_space_group_name_H-M_alt 'I m -3'
_space_group_IT_number 204
_space_group_name_Hall '-I 2 2 3'
_cell_length_a 12.317
_cell_length_b 12.317
_cell_length_c 12.317
_cell_angle_alpha 90.00
_cell_angle_beta 90.00
_cell_angle_gamma 90.00
loop_
_atom_site_label
_atom_site_type_symbol
_atom_site_fract_x
_atom_site_fract_y
_atom_site_fract_z
Ca1 Ca 0.000 0.000 0.000
Ac1 Ac 0.000 0.000 0.500
Ac2 Ac 0.250 0.250 0.250
Nd1 Nd 0.000 0.247 0.336
# M_tot   0.000 μB per formula unit
# Formation enthalpy at 0 K   0.72 eV per atom
# ρ   5.97 g/cm³


# PBE LiAgF4, relaxed
data_LiAgF4
_space_group_name_H-M_alt 'P n c 2'
_space_group_IT_number 30
_space_group_name_Hall 'P 2 -2bc'
_cell_length_a 5.043
_cell_length_b 4.823
_cell_length_c 6.259
_cell_angle_alpha 90.00
_cell_angle_beta 90.00
_cell_angle_gamma 90.00
loop_
_atom_site_label
_atom_site_type_symbol
_atom_site_fract_x
_atom_site_fract_y
_atom_site_fract_z
Li1 Li 0.000 0.000 0.000
Ag1 Ag 0.500 0.000 0.306
F1 F 0.171 0.230 0.287
F2 F 0.329 0.736 0.548
# M_tot   0.000 μB per formula unit
# Uncorrected formation energy   -158.5 kJ/mol of atoms
# ΔE to the lowest computed polymorph   0.054 eV/atom
# ρ   4.16 g/cm³